(A)
A relaxed structure of HgPBr. Source: the Alexandria database, functional PBE.

Output
- Calculated volume: 26.01 Å³ per atom

Cell lengths 6.7831, 6.7831, 6.7831 Å; angles 90.00, 90.00, 90.00 degrees
Last column: nearest neighbours and their distance in Å.
Space group F-43m (No. 216)
Unique sites:
Hg 0.0000 0.0000 0.0000  4 P 2.94
P 0.2500 0.2500 0.7500  4 Br 2.94, 4 Hg 2.94
Br 0.0000 0.0000 0.5000  4 P 2.94


(B)
A relaxed structure of HgPBr. Source: the Alexandria database, functional PBE.

Output
- Calculated volume: 24.66 Å³ per atom

Cell lengths 4.0470, 4.0470, 5.2156 Å; angles 90.00, 90.00, 120.00 degrees
Last column: nearest neighbours and their distance in Å.
Space group P3m1 (No. 156)
Unique sites:
Hg 0.0000 0.0000 0.0000  3 P 2.59
P 0.6667 0.3333 0.2132  3 Hg 2.59
Br 0.3333 0.6667 0.6099  3 Hg 3.10, 3 P 3.12


(C)
A relaxed structure of HgPBr. Source: the Alexandria database, functional PBE.

Output
- Calculated volume: 25.23 Å³ per atom

Cell lengths 3.8638, 6.5117, 12.0321 Å; angles 90.00, 90.00, 90.00 degrees
Last column: nearest neighbours and their distance in Å.
Space group Fmm2 (No. 42)
Unique sites:
Hg 0.0000 0.0000 0.0000  2 P 2.55, 2 Br 2.85
P 0.0000 0.0000 0.3611  2 Hg 2.55
Br 0.0000 0.0000 0.6740  2 Hg 2.85, 2 P 2.97


Which is most stable? The ranking, best first, is (B), (C), (A).


(A)
A relaxed structure of HgPBr. Source: the Alexandria database, functional PBE.

Output
- Calculated volume: 31.54 Å³ per atom

Cell lengths 14.3676, 4.0082, 6.9399 Å; angles 90.00, 108.75, 90.00 degrees
Last column: nearest neighbours and their distance in Å.
Space group C2/m (No. 12)
Unique sites:
Hg 0.1219 0.0000 0.2989  2 P 2.62, 2 Br 2.88
P 0.0753 0.5000 0.0435  1 P 2.05
Br 0.1523 0.5000 0.6118  3 Hg 2.88-3.10


(B)
A relaxed structure of HgPBr. Source: the Alexandria database, functional PBE.

Output
- Calculated volume: 29.46 Å³ per atom

Cell lengths 3.8855, 3.8855, 11.7089 Å; angles 90.00, 90.00, 90.00 degrees
Last column: nearest neighbours and their distance in Å.
Space group I4mm (No. 107)
Unique sites:
Hg 0.0000 0.0000 0.0000  4 P 2.75
P 0.0000 0.0000 0.4858  1 Br 2.29
Br 0.0000 0.0000 0.2902  1 P 2.29


Which is most stable? The ranking, best first, is (A), (B).


(A)
A relaxed structure of HgPSe2Br. Source: the Alexandria database, functional PBE.

Output
- Calculated volume: 24.77 Å³ per atom

Cell lengths 4.9560, 4.9560, 5.0430 Å; angles 90.00, 90.00, 90.00 degrees
Last column: nearest neighbours and their distance in Å.
Space group P4/mmm (No. 123)
Unique sites:
Hg 0.0000 0.0000 0.0000  4 Br 3.50, 8 Se 3.54
P 0.5000 0.5000 0.5000  4 Se 2.48, 2 Br 2.52
Se 0.0000 0.5000 0.5000  2 P 2.48
Br 0.5000 0.5000 0.0000  2 P 2.52


(B)
A relaxed structure of HgPSe2Br. Source: the Alexandria database, functional PBE.

Output
- Calculated volume: 30.42 Å³ per atom

Cell lengths 5.3206, 5.3206, 5.3731 Å; angles 90.00, 90.00, 90.00 degrees
Last column: nearest neighbours and their distance in Å.
Space group P4/mmm (No. 123)
Unique sites:
Hg 0.0000 0.0000 0.0000  4 Se 2.66, 2 Br 2.69
P 0.5000 0.5000 0.5000  4 Br 3.76, 8 Se 3.78
Se 0.0000 0.5000 0.0000  2 Hg 2.66
Br 0.0000 0.0000 0.5000  2 Hg 2.69


Which is most stable? The ranking, best first, is (A), (B).


(A)
A relaxed structure of PaHg2Br4. Source: the Alexandria database, functional PBE.

Output
- Calculated volume: 42.16 Å³ per atom

Cell lengths 21.1066, 4.2372, 6.6010 Å; angles 90.00, 91.07, 90.00 degrees
Last column: nearest neighbours and their distance in Å.
Space group C2/m (No. 12)
Unique sites:
Pa 0.0000 0.0000 0.0000  6 Br 2.70-2.89
Hg 0.2387 0.0000 0.2713  2 Hg 3.71, 2 Br 4.02
Br 0.0587 0.5000 0.2337  2 Pa 2.89
Br 0.0998 0.0000 0.7503  1 Pa 2.70


(B)
A relaxed structure of PaHg2Br4. Source: the Alexandria database, functional PBE.

Output
- Calculated volume: 48.96 Å³ per atom

Cell lengths 5.7491, 5.7491, 20.7378 Å; angles 90.00, 90.00, 90.00 degrees
Last column: nearest neighbours and their distance in Å.
Space group I4/mmm (No. 139)
Unique sites:
Pa 0.0000 0.0000 0.0000  6 Br 2.69-2.87
Hg 0.0000 0.0000 0.3207  5 Br 3.96-4.19
Br 0.0000 0.0000 0.1297  1 Pa 2.69
Br 0.0000 0.5000 0.0000  2 Pa 2.87


Which is most stable? The ranking, best first, is (A), (B).


(A)
A relaxed structure of PaHg2Br5. Source: the Alexandria database, functional PBE.

Output
- Calculated volume: 51.10 Å³ per atom

Cell lengths 14.4244, 8.3282, 8.3325 Å; angles 90.00, 125.24, 90.00 degrees
Last column: nearest neighbours and their distance in Å.
Space group Cm (No. 8)
Unique sites:
Pa 0.0000 0.0000 0.0000  5 Br 2.65-2.67
Hg 0.2196 0.0000 0.7184  10 Br 4.08-4.27
Hg 0.2197 0.5000 0.2200  10 Br 4.08-4.28
Br 0.2245 0.0000 0.2248  1 Pa 2.65
Br 0.4577 0.2772 0.1806  1 Pa 2.67
Br 0.4585 0.2770 0.7356  1 Pa 2.67


(B)
A relaxed structure of PaHg2Br5. Source: the Alexandria database, functional PBE.

Output
- Calculated volume: 44.83 Å³ per atom

Cell lengths 11.1570, 11.1690, 5.7562 Å; angles 90.00, 90.00, 90.00 degrees
Last column: nearest neighbours and their distance in Å.
Space group Imm2 (No. 44)
Unique sites:
Pa 0.0000 0.0000 0.0000  6 Br 2.69-2.88
Hg 0.0000 0.5000 0.2444  2 Hg 2.88
Hg 0.0000 0.5000 0.7444  2 Hg 2.88
Br 0.0000 0.0000 0.5000  2 Pa 2.88
Br 0.1704 0.1700 0.0000  1 Pa 2.69


Which is most stable? The ranking, best first, is (B), (A).


(A)
A relaxed structure of HgPbBr. Source: the Alexandria database, functional PBE.

Output
- Calculated volume: 35.55 Å³ per atom

Cell lengths 7.5280, 7.5280, 7.5280 Å; angles 90.00, 90.00, 90.00 degrees
Last column: nearest neighbours and their distance in Å.
Space group F-43m (No. 216)
Unique sites:
Hg 0.0000 0.0000 0.0000  4 Pb 3.26
Pb 0.2500 0.2500 0.2500  4 Hg 3.26, 4 Br 3.26
Br 0.0000 0.0000 0.5000  4 Pb 3.26


(B)
A relaxed structure of HgPbBr. Source: the Alexandria database, functional PBE.

Output
- Calculated volume: 31.98 Å³ per atom

Cell lengths 8.9471, 9.5576, 6.1709 Å; angles 90.00, 133.35, 90.00 degrees
Last column: nearest neighbours and their distance in Å.
Space group C2/c (No. 15)
Unique sites:
Hg 0.0000 0.0000 0.0000  2 Hg 3.09, 2 Pb 3.32
Pb 0.0000 0.3073 0.2500  3 Br 3.09-3.14, 2 Hg 3.32, 2 Pb 3.43
Br 0.0000 0.3691 0.7500  3 Pb 3.09-3.14


Which is most stable? The ranking, best first, is (B), (A).


(A)
A relaxed structure of Hg2PdBr. Source: the Alexandria database, functional PBE.

Output
- Calculated volume: 28.99 Å³ per atom

Cell lengths 5.0853, 5.0853, 17.9362 Å; angles 90.00, 90.00, 90.00 degrees
Last column: nearest neighbours and their distance in Å.
Space group I-42d (No. 122)
Unique sites:
Hg 0.1585 0.2500 0.1250  2 Pd 2.70, 2 Hg 3.01
Pd 0.0000 0.0000 0.0000  4 Hg 2.70
Br 0.0000 0.0000 0.5000  4 Hg 3.11


(B)
A relaxed structure of Hg2PdBr. Source: the Alexandria database, functional PBE.

Output
- Calculated volume: 23.31 Å³ per atom

Cell lengths 7.1983, 7.1983, 7.1983 Å; angles 90.00, 90.00, 90.00 degrees
Last column: nearest neighbours and their distance in Å.
Space group Fm-3m (No. 225)
Unique sites:
Hg 0.2500 0.2500 0.2500  4 Br 3.12, 4 Pd 3.12
Pd 0.0000 0.0000 0.0000  8 Hg 3.12
Br 0.0000 0.0000 0.5000  8 Hg 3.12


Which is most stable? The ranking, best first, is (A), (B).


(A)
A relaxed structure of Hg2PdBr8. Source: the Alexandria database, functional PBE.

Output
- Calculated volume: 35.84 Å³ per atom

Cell lengths 14.5030, 7.9634, 6.8337 Å; angles 90.00, 92.63, 90.00 degrees
Last column: nearest neighbours and their distance in Å.
Space group C2/m (No. 12)
Unique sites:
Hg 0.1689 0.0000 0.4475  4 Br 2.57-2.75
Pd 0.0000 0.0000 0.0000  6 Br 2.52-2.53
Br 0.0619 0.2245 0.2333  1 Pd 2.53, 1 Hg 2.75
Br 0.1543 0.5000 0.5624  1 Hg 2.57
Br 0.1546 0.0000 0.8456  1 Pd 2.52, 1 Hg 2.74


(B)
A relaxed structure of Hg2PdBr8. Source: the Alexandria database, functional PBE.

Output
- Calculated volume: 41.16 Å³ per atom

Cell lengths 13.7702, 5.6746, 12.8036 Å; angles 90.00, 115.17, 90.00 degrees
Last column: nearest neighbours and their distance in Å.
Space group C2/m (No. 12)
Unique sites:
Hg 0.1429 0.0000 0.3812  2 Br 2.44-2.48
Pd 0.0000 0.0000 0.0000  4 Br 2.45
Br 0.0525 0.0000 0.7234  1 Hg 2.44
Br 0.1569 0.2497 0.1056  1 Pd 2.45
Br 0.1580 0.5000 0.5269  1 Hg 2.48


Which is most stable? The ranking, best first, is (A), (B).